An optimized crystal structure of BaIn6Ga2, computed with PBE-GGA.

The structure belongs to space group P4/mmm (No. 123); the cell edges are 5.3509, 5.3509 and 8.7746 Å and the angles 90.00°, 90.00° and 90.00°. The asymmetric unit holds Ba at (0.0000, 0.0000, 0.0000), In at (0.0000, 0.0000, 0.5000), In at (0.0000, 0.5000, 0.2995), In at (0.5000, 0.5000, 0.5000) and Ga at (0.5000, 0.5000, 0.1491).

Its total magnetization is 0.0 μB/cell. The density of states at the Fermi level comes out at 2.8 states/eV/cell. Its formation energy is -0.14 eV/atom.